First-principles (PBE+U) data for a relaxed LiAc4Mn3O12 crystal, as listed in Alexandria via LeMat-Bulk.

Results
As for the theoretical density: 8.5 g/cm³. As for the space group: Im-3m (229). The total DFT energy (no corrections) is -7.56 eV per atom. As for the crystal system: cubic.

abc: 6.8583 6.8583 6.8583
angles: 109.47 109.47 109.47
Fractional positions:
O (0.7380, 0.7380, 0.0000)
O (0.2500, 0.5000, 0.7500)
O (0.5000, 0.7500, 0.2500)
O (0.5000, 0.2500, 0.7500)
O (0.2620, 0.0000, 0.2620)
O (0.0000, 0.2620, 0.2620)
O (0.2500, 0.7500, 0.5000)
O (0.7500, 0.2500, 0.5000)
O (0.0000, 0.7380, 0.7380)
O (0.7380, 0.0000, 0.7380)
O (0.2620, 0.2620, 0.0000)
O (0.7500, 0.5000, 0.2500)
Li (0.0000, 0.0000, 0.0000)
Ac (0.0000, 0.0000, 0.5000)
Ac (0.5000, 0.0000, 0.0000)
Ac (0.0000, 0.5000, 0.0000)
Ac (0.5000, 0.5000, 0.5000)
Mn (0.0000, 0.5000, 0.5000)
Mn (0.5000, 0.5000, 0.0000)
Mn (0.5000, 0.0000, 0.5000)